First-principles (SCAN) data for a crystal of CaSnOsBr2 relaxed with PBEsol, as listed in Alexandria via LeMat-Bulk.

Lattice parameters (Å, degrees): 5.141 5.141 6.623 90.00 90.00 90.00
Each line ends with the local moment (μB).
Atoms (fractional coordinates):
Br 0.000 0.500 0.000  -0.01
Ca 0.000 0.000 0.000  -0.06
Br 0.500 0.000 0.000  -0.01
Os 0.500 0.500 0.500  2.76
Sn 0.000 0.000 0.500  -0.48

symmetry: P4/mmm (123)
D(E_F): 0.806 states/eV/atom
energy relative to the elements, uncorrected: 0.688 eV/atom
M_tot: 0.44 μB/atom